First-principles (PBE) data for Nd3Al6Pd5 after structural relaxation, as listed in Alexandria.

Computed properties:
Crystal system = orthorhombic
M_tot = 0.0 μB/f.u.
SG = Pmmn, No. 59
E_form = -1101 kJ/mol of formula units

Cell: 4.352 9.463 13.052 Å, 90.00 90.00 90.00°
Positions (direct):
Nd: 0.000 0.247 0.697
Nd: 0.500 0.753 0.197
Nd: 0.500 0.753 0.803
Nd: 0.000 0.259 0.000
Nd: 0.500 0.741 0.500
Nd: 0.000 0.247 0.303
Al: 0.000 0.982 0.849
Al: 0.500 0.018 0.651
Al: 0.500 0.414 0.819
Al: 0.500 0.576 0.000
Al: 0.000 0.424 0.500
Al: 0.000 0.586 0.681
Al: 0.000 0.586 0.319
Al: 0.500 0.963 0.000
Al: 0.000 0.982 0.151
Al: 0.500 0.414 0.181
Al: 0.000 0.037 0.500
Al: 0.500 0.018 0.349
Pd: 0.000 0.537 0.885
Pd: 0.000 0.870 0.658
Pd: 0.000 0.799 0.000
Pd: 0.500 0.463 0.615
Pd: 0.500 0.201 0.500
Pd: 0.000 0.537 0.115
Pd: 0.500 0.463 0.385
Pd: 0.000 0.870 0.342
Pd: 0.500 0.130 0.842
Pd: 0.500 0.130 0.158